Density functional theory data (PBE with a Hubbard U) for a geometry-optimized VF3 structure.

Lattice parameters (Å, degrees): 3.141 5.034 6.231 90.00 90.00 108.18
Site moments in Bohr magnetons follow the coordinates.
Atoms (fractional coordinates):
F1 0.593 0.187 0.250  -0.01
F2 0.160 0.319 0.562  -0.01
F3 0.840 0.681 0.062  -0.01
F4 0.840 0.681 0.438  -0.01
F5 0.407 0.813 0.750  -0.01
F6 0.160 0.319 0.938  -0.01
V1 0.218 0.437 0.250  1.94
V2 0.782 0.563 0.750  1.94

Values from the calculation:
- space-group type = Cmcm (63)
- raw total energy (eV per atom) = -5.879